VASP calculation (PBE) on a geometry-optimized Pr2Ga5Ag3 structure.

For the volume, the calculation gives 20.8 Å³ per atom. For the calculated formation energy, the calculation gives -0.43 eV per atom.

Cell: 10.5927 12.7304 6.1726 Å, 90.00 90.00 90.00°
With the nearest neighbours (Å) after each atom.
Space group Ibam (No. 72)
Asymmetric unit:
1 Pr 0.2354 0.1284 0.0000 x8  10 Ga 3.29-3.50, 7 Ag 3.37-3.66
2 Ga 0.0000 0.0000 0.2500 x4  4 Ag 2.61
3 Ga 0.0000 0.2792 0.2500 x8  3 Ag 2.62-2.81, 2 Ga 2.64
4 Ga 0.1554 0.3862 0.0000 x8  3 Ag 2.53-2.68, 2 Ga 2.64
5 Ag 0.0000 0.5000 0.2500 x4  6 Ga 2.68-2.81
6 Ag 0.1077 0.1387 0.5000 x8  5 Ga 2.53-2.62